Here is a geometry-optimized TmThSc2Bi4 structure from Alexandria. Energies are from GGA-PBE.

a b c (Å): 4.4113 7.6156 7.5939
angles (deg): 109.57 90.00 90.00
Fractional coordinates of all 8 atoms:
Tm1 0.5000 0.5000 0.0000
Th1 0.0000 0.0000 0.0000
Sc1 0.5000 0.0000 0.5000
Sc2 0.0000 0.5000 0.5000
Bi1 0.5000 0.2632 0.2704
Bi2 0.5000 0.7368 0.7296
Bi3 0.0000 0.2508 0.7346
Bi4 0.0000 0.7492 0.2654

Output
Crystal system ... monoclinic
DFT formation energy ... -667.4 meV/atom

---

Here is a geometry-optimized TmTh2ScBi4 structure from Alexandria. Energies are from GGA-PBE.

a b c (Å): 4.4974 7.7832 7.7042
angles (deg): 109.76 90.00 90.00
Fractional coordinates of all 8 atoms:
Tm1 0.0000 0.0000 0.0000
Th1 0.5000 0.0000 0.5000
Th2 0.0000 0.5000 0.5000
Sc1 0.5000 0.5000 0.0000
Bi1 0.5000 0.2486 0.2324
Bi2 0.5000 0.7514 0.7676
Bi3 0.0000 0.2614 0.7706
Bi4 0.0000 0.7386 0.2294

Output
Crystal system ... monoclinic
DFT formation energy ... -633.3 meV/atom

---

Here is a geometry-optimized Tm2ThScBi4 structure from Alexandria. Energies are from GGA-PBE.

a b c (Å): 4.4555 7.6781 7.7030
angles (deg): 109.51 90.00 90.00
Fractional coordinates of all 8 atoms:
Tm1 0.5000 0.0000 0.5000
Tm2 0.0000 0.5000 0.5000
Th1 0.0000 0.0000 0.0000
Sc1 0.5000 0.5000 0.0000
Bi1 0.5000 0.2628 0.2557
Bi2 0.5000 0.7372 0.7443
Bi3 0.0000 0.2613 0.7527
Bi4 0.0000 0.7387 0.2473

Output
Crystal system ... monoclinic
DFT formation energy ... -686.2 meV/atom

---

Here is a geometry-optimized Tm2ThSc3Bi6 structure from Alexandria. Energies are from GGA-PBE.

a b c (Å): 7.5931 7.5931 7.5815
angles (deg): 99.66 99.66 119.96
Fractional coordinates of all 12 atoms:
Tm1 0.3321 0.6679 0.0000
Tm2 0.6679 0.3321 0.0000
Th1 0.0000 0.0000 0.0000
Sc1 0.1628 0.8372 0.5000
Sc2 0.8372 0.1628 0.5000
Sc3 0.5000 0.5000 0.5000
Bi1 0.9107 0.5701 0.7330
Bi2 0.7461 0.7461 0.2626
Bi3 0.0893 0.4299 0.2670
Bi4 0.5701 0.9107 0.7330
Bi5 0.2539 0.2539 0.7374
Bi6 0.4299 0.0893 0.2670

Output
Crystal system ... monoclinic
DFT formation energy ... -685.8 meV/atom